CaMgBi3 | PBE | optimized geometry

Results
Calculated formation energy = 10.6 kcal/mol of atoms
Distance to the lowest polymorph of the same formula = 813.8 meV per atom
Spin magnetization = 0.000 μB/cell
Total energy = -12.9 eV for the cell shown
Crystal system = cubic
Mass density = 5.834 Mg/m³

```
5
Lattice="5.817 0.000 0.000 0.000 5.817 0.000 0.000 0.000 5.817" Properties=species:S:1:pos:R:3 pbc="T T T"
Ca 0.000 0.000 0.000
Mg 2.908 2.908 2.908
Bi 0.000 0.000 2.908
Bi 0.000 2.908 0.000
Bi 2.908 0.000 0.000
```